[1]
Pm2Si4Ni3Os: optimized geometry, PBE.

Calculated values
* M_tot: 0.00 μB/atom
* formation energy from raw total energies: -0.799 eV per atom
* density of states at the Fermi level: 0.389 states/eV/atom

Lattice parameters (Å, degrees): 4.033 4.033 9.770 90.00 90.00 90.00
Fractional positions:
Pm: 0.000 0.500 0.240
Pm: 0.500 0.000 0.760
Si: 0.000 0.000 0.000
Si: 0.000 0.500 0.633
Si: 0.500 0.000 0.367
Si: 0.500 0.500 0.000
Ni: 0.000 0.500 0.878
Ni: 0.500 0.000 0.122
Ni: 0.500 0.500 0.500
Os: 0.000 0.000 0.500


[2]
EuPb2Au: optimized geometry, PBE.

Calculated values
* relative energy among the computed polymorphs: 392 meV per atom
* M_tot: 1.93 μB/atom
* DFT formation energy: 0.0 eV per formula unit
* density of states at the Fermi level: 0.556 states/eV/atom

Lattice parameters (Å, degrees): 10.919 10.919 10.919 19.56 19.56 19.56
Fractional positions:
Eu: 0.000 0.000 0.000
Pb: 0.103 0.103 0.103
Pb: 0.897 0.897 0.897
Au: 0.500 0.500 0.500


[3]
Gd2YTa: optimized geometry, PBE.

Calculated values
* M_tot: 3.65 μB/atom
* DFT formation energy: 2.5 eV per formula unit
* density of states at the Fermi level: 1.759 states/eV/atom

Lattice parameters (Å, degrees): 11.917 11.917 11.917 15.84 15.84 15.84
Fractional positions:
Gd: 0.082 0.082 0.082
Gd: 0.918 0.918 0.918
Y: 0.500 0.500 0.500
Ta: 0.000 0.000 0.000